A plane-wave DFT calculation with GGA-PBE was carried out for a relaxed Sr2TlRuO8 crystal.

It has space group P-1 (No. 2), with a = 4.614 Å, b = 5.314 Å, c = 7.640 Å, α = 90.09°, β = 90.09° and γ = 94.17°. The distinct sites, in fractional coordinates, are Sr at (0.002, 0.001, 0.252), Tl at (0.500, 0.500, 0.000), Ru at (0.500, 0.500, 0.500), O at (0.080, 0.391, 0.500), O at (0.163, 0.244, 0.000), O at (0.431, 0.733, 0.323) and O at (0.432, 0.737, 0.675).

The raw total energy is -5.855 eV/atom. Its formation energy (no corrections) is -1.299 eV per atom.